Mg2PdF8: relaxed, GGA-PBE.

**Formation energy without anion corrections**: -2431 meV per atom

Unit cell a=4.156 b=5.819 c=5.819 alpha=72.28 beta=91.73 gamma=91.73
Element x y z (fractional)
Mg (0.766, 0.620, 0.620)
Mg (0.234, 0.380, 0.380)
Pd (0.000, 0.000, 0.000)
F (0.773, 0.897, 0.305)
F (0.227, 0.695, 0.103)
F (0.724, 0.828, 0.828)
F (0.276, 0.172, 0.172)
F (0.773, 0.305, 0.897)
F (0.227, 0.103, 0.695)
F (0.262, 0.594, 0.594)
F (0.738, 0.406, 0.406)

---

Na2DyGaTe4: relaxed, GGA-PBE.

**Formation energy without anion corrections**: -832 meV per atom

Unit cell a=8.850 b=8.850 c=9.029 alpha=120.66 beta=120.66 gamma=91.19
Element x y z (fractional)
Na (0.500, 0.000, 0.000)
Na (0.500, 0.000, 0.500)
Na (0.000, 0.000, 0.500)
Na (0.500, 0.500, 0.000)
Dy (0.000, 0.500, 0.000)
Dy (0.000, 0.500, 0.500)
Ga (0.500, 0.500, 0.500)
Ga (0.000, 0.000, 0.000)
Te (0.240, 0.749, 0.995)
Te (0.751, 0.260, 0.505)
Te (0.249, 0.740, 0.495)
Te (0.760, 0.251, 0.005)
Te (0.755, 0.746, 0.967)
Te (0.754, 0.745, 0.533)
Te (0.246, 0.255, 0.467)
Te (0.245, 0.254, 0.033)

---

CoRhI2: relaxed, GGA-PBE.

**Formation energy without anion corrections**: 826 meV per atom
**Offset from the most stable computed form**: 0.420 eV/atom

Unit cell a=4.846 b=4.846 c=4.846 alpha=60.00 beta=60.00 gamma=60.00
Element x y z (fractional)
I (0.250, 0.250, 0.250)
I (0.750, 0.750, 0.750)
Co (0.000, 0.000, 0.000)
Rh (0.500, 0.500, 0.500)

---

Y2Cu5Ge3: relaxed, GGA-PBE.

**DFT formation energy**: -0.226 eV per atom

Unit cell a=4.115 b=4.115 c=10.340 alpha=90.00 beta=90.00 gamma=90.00
Element x y z (fractional)
Y (0.500, 0.000, 0.228)
Y (0.000, 0.500, 0.772)
Cu (0.500, 0.500, 0.000)
Cu (0.000, 0.000, 0.000)
Cu (0.500, 0.000, 0.876)
Cu (0.000, 0.500, 0.124)
Cu (0.500, 0.500, 0.500)
Ge (0.500, 0.000, 0.652)
Ge (0.000, 0.500, 0.348)
Ge (0.000, 0.000, 0.500)

---

| no. | total energy (eV/f.u.) |
| --- | --- |
| 1 | -50.10 |
| 2 | -29.49 |
| 3 | -14.26 |
| 4 | -49.52 |